Tb2Dy3Er9 PBE optimized geometry; space-group type = Immm (71); electronic total energy = -62.437 eV per cell; total magnetization = 0.00 μB/f.u.; energy of formation from the pure elements = 0.121 eV/atom
1.0
-2.775 5.335 7.391
2.775 -5.335 7.391
2.775 5.335 -7.391
Tb Dy Er
2 3 9
Direct
0.181 0.181 0.000
0.819 0.819 0.000
0.203 0.000 0.203
0.500 0.000 0.500
0.797 0.000 0.797
0.000 0.500 0.500
0.119 0.778 0.341
0.238 0.396 0.842
0.438 0.778 0.659
0.445 0.604 0.842
0.555 0.396 0.158
0.562 0.222 0.341
0.762 0.604 0.158
0.881 0.222 0.659